4
Lattice="-2.2147 1.1128 -4.3694 1.4438 -2.6775 -3.9977 -2.0144 -0.2391 4.5956" Properties=species:S:1:pos:R:3 comment="Li3Pt, relaxed, DFT PBE-GGA" formation_enthalpy_0k_kj_per_mol_atoms=-37.9 magmom_total_mub_per_atom=0.000 de_polymorph_mev_per_atom=29.9 pbc="T T T"
Pt -2.1145 0.4368 0.1131
Li -0.1964 -0.3986 -2.1317
Li -0.5745 -1.1660 -6.2354
Li -0.2853 -1.4583 0.2990